[1]
# Zr2Co5P3 | Alexandria | PBE-GGA | optimized geometry
# volume: 12.832 Å³ per atom
# energy of formation: -7.9 eV per formula unit
# DOS at the Fermi energy: 20.10 states/eV per cell
data_Zr2Co5P3
_chemical_formula_sum 'Zr8 Co20 P12'
_symmetry_space_group_name_H-M 'C m c 21'
_symmetry_Int_Tables_number 36
_cell_length_a 3.7292
_cell_length_b 22.1989
_cell_length_c 6.2001
_cell_angle_alpha 90.00
_cell_angle_beta 90.00
_cell_angle_gamma 90.00
loop_
_symmetry_equiv_pos_as_xyz
'x,y,z'
'-x,-y,z+1/2'
'-x,y,z'
'x,-y,z+1/2'
'x+1/2,y+1/2,z'
'-x+1/2,-y+1/2,z+1/2'
'-x+1/2,y+1/2,z'
'x+1/2,-y+1/2,z+1/2'
loop_
_atom_site_label
_atom_site_type_symbol
_atom_site_fract_x
_atom_site_fract_y
_atom_site_fract_z
Zr1 Zr 0.0000 0.0232 0.0000
Zr2 Zr 0.0000 0.3242 0.9788
Co1 Co 0.0000 0.0970 0.6305
Co2 Co 0.0000 0.2092 0.7664
Co3 Co 0.0000 0.2102 0.1663
Co4 Co 0.0000 0.3698 0.4660
Co5 Co 0.0000 0.4421 0.8351
P1 P 0.0000 0.1133 0.2569
P2 P 0.0000 0.2677 0.4668
P3 P 0.0000 0.4534 0.2065

---

[2]
# Ba2Si2PbAu6 | Alexandria | PBE-GGA | optimized geometry
# volume: 31.800 Å³ per atom
# formation energy from raw total energies: -0.360 eV per atom
# DOS at the Fermi energy: 13.48 states/eV per cell
data_Ba2Si2PbAu6
_chemical_formula_sum 'Ba6 Si6 Pb3 Au18'
_symmetry_space_group_name_H-M 'R -3 m'
_symmetry_Int_Tables_number 166
_symmetry_space_group_name_Hall '-R 3 2"'
_cell_length_a 6.8745
_cell_length_b 6.8745
_cell_length_c 25.6402
_cell_angle_alpha 90.00
_cell_angle_beta 90.00
_cell_angle_gamma 120.00
loop_
_atom_site_label
_atom_site_type_symbol
_atom_site_fract_x
_atom_site_fract_y
_atom_site_fract_z
Ba1 Ba 0.0000 0.0000 0.2155
Si1 Si 0.0000 0.0000 0.4537
Pb1 Pb 0.0000 0.0000 0.0000
Au1 Au 0.0540 0.5270 0.7618

---

[3]
# Dy3Rh | Alexandria | PBE-GGA | optimized geometry
# volume: 26.012 Å³ per atom
# energy of formation: -1.9 eV per formula unit
# DOS at the Fermi energy: 20.85 states/eV per cell
data_Dy3Rh
_chemical_formula_sum 'Dy24 Rh8'
_symmetry_space_group_name_H-M 'I -4 2 m'
_symmetry_Int_Tables_number 121
_symmetry_space_group_name_Hall 'I -4 2'
_cell_length_a 11.6604
_cell_length_b 11.6604
_cell_length_c 6.1220
_cell_angle_alpha 90.00
_cell_angle_beta 90.00
_cell_angle_gamma 90.00
loop_
_atom_site_label
_atom_site_type_symbol
_atom_site_fract_x
_atom_site_fract_y
_atom_site_fract_z
Dy1 Dy 0.0000 0.3579 0.0000
Dy2 Dy 0.0947 0.0947 0.7499
Dy3 Dy 0.2030 0.2030 0.3044
Rh1 Rh 0.0000 0.2954 0.5000

---

DOS at the Fermi energy of number 1 (Zr2Co5P3)?
20.10 states/eV per cell